[1]
The following is a DFT calculation (PBE) of Pm3Zn4Ru4 after structural relaxation.

Computed properties:
E in eV per cell: -55.593
Crystal system: cubic
M_tot in μB per formula unit: 0.00
Formation enthalpy at 0 K in meV per atom: 78

Unit cell a=6.5876 b=6.5876 c=6.5876 alpha=109.47 beta=109.47 gamma=109.47
Element x y z (fractional)
Pm 0.0000 0.5000 0.5000
Pm 0.5000 0.0000 0.5000
Pm 0.5000 0.5000 0.0000
Zn 0.0000 0.0000 0.2382
Zn 0.0000 0.2382 0.0000
Zn 0.2382 0.0000 0.0000
Zn 0.7618 0.7618 0.7618
Ru 0.0000 0.0000 0.5984
Ru 0.0000 0.5984 0.0000
Ru 0.4016 0.4016 0.4016
Ru 0.5984 0.0000 0.0000

[2]
The following is a DFT calculation (PBE) of Pm3Zn3Ru after structural relaxation.

Computed properties:
E in eV per cell: -58.763
Crystal system: monoclinic
M_tot in μB per formula unit: 0.00
Formation enthalpy at 0 K in meV per atom: -290

Unit cell a=5.8645 b=5.8645 c=15.4391 alpha=103.64 beta=103.64 gamma=39.32
Element x y z (fractional)
Pm 0.0221 0.0221 0.3869
Pm 0.1245 0.1245 0.9231
Pm 0.2383 0.2383 0.2400
Pm 0.7617 0.7617 0.7600
Pm 0.8755 0.8755 0.0769
Pm 0.9779 0.9779 0.6131
Zn 0.3267 0.3267 0.4655
Zn 0.4030 0.4030 0.9238
Zn 0.4800 0.4800 0.7730
Zn 0.5200 0.5200 0.2270
Zn 0.5970 0.5970 0.0762
Zn 0.6733 0.6733 0.5345
Ru 0.2859 0.2859 0.6330
Ru 0.7141 0.7141 0.3670

[3]
The following is a DFT calculation (PBE) of Pm2Zn3Ru2 after structural relaxation.

Computed properties:
E in eV per cell: -33.628
Crystal system: monoclinic
M_tot in μB per formula unit: 0.00
Formation enthalpy at 0 K in meV per atom: -250

Unit cell a=5.6081 b=5.6081 c=6.3953 alpha=105.92 beta=105.92 gamma=46.52
Element x y z (fractional)
Pm 0.1199 0.1199 0.3404
Pm 0.8801 0.8801 0.6596
Zn 0.2071 0.2071 0.8775
Zn 0.5000 0.5000 0.0000
Zn 0.7929 0.7929 0.1225
Ru 0.4121 0.4121 0.3241
Ru 0.5879 0.5879 0.6759

[4]
The following is a DFT calculation (PBE) of Pm12ZnRu6 after structural relaxation.

Computed properties:
Energy above the lowest structure with this stoichiometry in eV/atom: 0.000
E in eV per cell: -117.234
Crystal system: cubic
M_tot in μB per formula unit: 0.00
Formation enthalpy at 0 K in meV per atom: -174

Unit cell a=8.7168 b=8.7168 c=8.7168 alpha=109.47 beta=109.47 gamma=109.47
Element x y z (fractional)
Pm 0.1004 0.2971 0.8034
Pm 0.1966 0.4937 0.2971
Pm 0.1966 0.8996 0.7029
Pm 0.2971 0.1966 0.4937
Pm 0.2971 0.8034 0.1004
Pm 0.4937 0.2971 0.1966
Pm 0.5063 0.7029 0.8034
Pm 0.7029 0.1966 0.8996
Pm 0.7029 0.8034 0.5063
Pm 0.8034 0.1004 0.2971
Pm 0.8034 0.5063 0.7029
Pm 0.8996 0.7029 0.1966
Zn 0.0000 0.0000 0.0000
Ru 0.1221 0.5000 0.6221
Ru 0.3779 0.8779 0.5000
Ru 0.5000 0.3779 0.8779
Ru 0.5000 0.6221 0.1221
Ru 0.6221 0.1221 0.5000
Ru 0.8779 0.5000 0.3779

[5]
The following is a DFT calculation (PBE) of Pm6Zn2Ru after structural relaxation.

Computed properties:
E in eV per cell: -40.587
Crystal system: orthorhombic
M_tot in μB per formula unit: 0.00
Formation enthalpy at 0 K in meV per atom: -29

Unit cell a=8.5679 b=8.5679 c=8.5679 alpha=144.70 beta=131.65 gamma=61.27
Element x y z (fractional)
Pm 0.0900 0.3416 0.7484
Pm 0.2397 0.0000 0.2397
Pm 0.4069 0.6584 0.7484
Pm 0.5931 0.3416 0.2516
Pm 0.7603 0.0000 0.7603
Pm 0.9100 0.6584 0.2516
Zn 0.3332 0.8332 0.5000
Zn 0.6668 0.1668 0.5000
Ru 0.0000 0.5000 0.5000

[6]
The following is a DFT calculation (PBE) of PmZrZnRu after structural relaxation.

Computed properties:
E in eV per cell: -24.730
Crystal system: cubic
M_tot in μB per formula unit: 0.00
Formation enthalpy at 0 K in meV per atom: -220

Unit cell a=4.8700 b=4.8700 c=4.8700 alpha=60.00 beta=60.00 gamma=60.00
Element x y z (fractional)
Pm 0.0000 0.0000 0.0000
Zr 0.5000 0.5000 0.5000
Zn 0.2500 0.2500 0.2500
Ru 0.7500 0.7500 0.7500